# 1
The following is a PBE calculation of CePmRuRh after structural relaxation, from the Alexandria database.

POSCAR file:
```
CePmRuRh
1.0
4.932 0.000 0.000
2.466 4.271 0.000
2.466 1.424 4.027
Ru Pm Ce Rh
1 1 1 1
Direct
0.750 0.750 0.750 Ru
0.500 0.500 0.500 Pm
0.000 0.000 0.000 Ce
0.250 0.250 0.250 Rh
```

Computed properties:
- crystal system = cubic
- formation enthalpy at 0 K (eV/atom) = -0.446

---

# 2
The following is a PBE calculation of Ba2Y3 after structural relaxation, from the Alexandria database.

POSCAR file:
```
Ba2Y3
1.0
2.980 -5.161 0.000
2.980 5.161 0.000
0.000 0.000 7.186
Y Ba
3 2
Direct
0.667 0.333 0.649 Y
0.333 0.667 0.351 Y
0.000 0.000 0.000 Y
0.333 0.667 0.846 Ba
0.667 0.333 0.154 Ba
```

Computed properties:
- energy above the lowest structure with this stoichiometry (meV/atom) = 414
- crystal system = trigonal
- formation enthalpy at 0 K (eV/atom) = 0.714

---

# 3
The following is a PBE calculation of CePuHgTe after structural relaxation, from the Alexandria database.

POSCAR file:
```
CePuHgTe
1.0
-3.093 3.688 2.421
-4.348 -1.539 2.786
-0.030 0.382 5.375
Pu Ce Hg Te
1 1 1 1
Direct
0.000 0.000 0.000 Pu
0.500 0.500 0.500 Ce
0.250 0.250 0.250 Hg
0.750 0.750 0.750 Te
```

Computed properties:
- crystal system = cubic
- formation energy (no corrections) (meV per atom) = -547

---

# 4
The following is a PBE calculation of Ti5Tl3Zn12 after structural relaxation, from the Alexandria database.

POSCAR file:
```
Ti5Tl3Zn12
1.0
13.513 0.000 0.000
-4.504 12.740 0.000
-4.504 -6.370 11.033
Zn Ti Tl
48 20 12
Direct
0.357 0.423 0.079 Zn
0.344 0.567 0.423 Zn
0.567 0.344 0.923 Zn
0.844 0.921 0.277 Zn
0.357 0.933 0.777 Zn
0.067 0.423 0.844 Zn
0.933 0.357 0.277 Zn
0.723 0.579 0.156 Zn
0.656 0.433 0.577 Zn
0.433 0.656 0.077 Zn
0.643 0.577 0.921 Zn
0.923 0.079 0.857 Zn
0.423 0.067 0.344 Zn
0.777 0.344 0.921 Zn
0.277 0.857 0.933 Zn
0.079 0.156 0.223 Zn
0.844 0.923 0.067 Zn
0.277 0.421 0.844 Zn
0.723 0.143 0.067 Zn
0.921 0.077 0.643 Zn
0.577 0.933 0.656 Zn
0.433 0.777 0.857 Zn
0.777 0.433 0.357 Zn
0.344 0.777 0.421 Zn
0.079 0.923 0.357 Zn
0.143 0.421 0.077 Zn
0.857 0.277 0.433 Zn
0.077 0.156 0.433 Zn
0.423 0.357 0.579 Zn
0.223 0.656 0.079 Zn
0.421 0.143 0.577 Zn
0.156 0.079 0.723 Zn
0.077 0.921 0.143 Zn
0.577 0.643 0.421 Zn
0.067 0.643 0.723 Zn
0.921 0.844 0.777 Zn
0.567 0.223 0.143 Zn
0.223 0.567 0.643 Zn
0.933 0.577 0.156 Zn
0.923 0.844 0.567 Zn
0.579 0.857 0.423 Zn
0.643 0.067 0.223 Zn
0.857 0.579 0.923 Zn
0.143 0.723 0.567 Zn
0.156 0.077 0.933 Zn
0.421 0.277 0.344 Zn
0.579 0.723 0.656 Zn
0.656 0.223 0.579 Zn
0.625 0.875 0.250 Ti
0.375 0.250 0.125 Ti
0.875 0.250 0.625 Ti
0.750 0.125 0.875 Ti
0.500 0.500 0.500 Ti
0.750 0.625 0.375 Ti
0.500 0.500 0.000 Ti
0.125 0.375 0.250 Ti
0.625 0.750 0.875 Ti
0.500 0.000 0.000 Ti
0.125 0.750 0.375 Ti
0.000 0.500 0.000 Ti
0.000 0.000 0.500 Ti
0.000 0.500 0.500 Ti
0.000 0.000 0.000 Ti
0.250 0.875 0.125 Ti
0.375 0.125 0.750 Ti
0.250 0.375 0.625 Ti
0.500 0.000 0.500 Ti
0.875 0.625 0.750 Ti
0.375 0.750 0.625 Tl
0.250 0.125 0.375 Tl
0.750 0.375 0.125 Tl
0.875 0.125 0.250 Tl
0.125 0.875 0.750 Tl
0.625 0.375 0.750 Tl
0.250 0.625 0.875 Tl
0.875 0.750 0.125 Tl
0.750 0.875 0.625 Tl
0.125 0.250 0.875 Tl
0.375 0.625 0.250 Tl
0.625 0.250 0.375 Tl
```

Computed properties:
- crystal system = cubic
- formation enthalpy at 0 K (eV/atom) = 0.713

---

Total moment, respectively: 0.1; 0.0; 8.3; 2.7 μB per formula unit.
Theoretical density, respectively: 9574; 4068; 10692; 5726 kg/m3.
VASP energy, respectively: -7.274; -3.934; -6.474; -2.380 eV/atom.